## SrBeVO4 (GGA+U)

Data for a relaxed structure of SrBeVO4.

Unit cell a=4.9014 b=5.2673 c=6.6095 alpha=90.00 beta=109.49 gamma=90.00
Last column: nearest neighbours and their distance in Å.
Atoms (fractional coordinates):
Sr 0.2166 0.2500 0.4331  2 O 2.34-2.44
Sr 0.7834 0.7500 0.5669  2 O 2.34-2.44
Be 0.2479 0.7500 0.1648  4 O 1.56-1.69
Be 0.7521 0.2500 0.8352  4 O 1.56-1.69
V 0.3053 0.2500 0.9624  5 O 1.85-2.04
V 0.6947 0.7500 0.0376  5 O 1.85-2.04
O 0.0064 0.7500 0.9393  1 Be 1.56
O 0.0613 0.7500 0.3221  1 Be 1.60
O 0.4896 0.5147 0.1868  1 Be 1.69
O 0.4896 0.9853 0.1868  1 Be 1.69
O 0.5104 0.0147 0.8132  1 Be 1.69
O 0.5104 0.4853 0.8132  1 Be 1.69
O 0.9387 0.2500 0.6779  1 Be 1.60
O 0.9936 0.2500 0.0607  1 Be 1.56

total energy = -7.049 eV per atom